(1)
An optimized crystal structure of TaBePt, computed with PBE-GGA.

Properties
Magnetization, μB per formula unit: 0.000
DFT formation energy, meV/atom: -493
Total energy, Ry/atom: -0.5659

abc: 5.494 5.494 5.494
angles: 150.02 150.02 42.92
Sites, in units of the cell vectors:
1 Ta 0.000 0.000 0.000
2 Be 0.329 0.329 0.000
3 Pt 0.703 0.703 0.000

=====

(2)
An optimized crystal structure of TaBePt3, computed with PBE-GGA.

Properties
Magnetization, μB per formula unit: 0.766
DFT formation energy, meV/atom: -41
Total energy, Ry/atom: -0.4984

abc: 4.252 4.252 4.252
angles: 90.00 90.00 90.00
Sites, in units of the cell vectors:
1 Ta 0.000 0.000 0.000
2 Be 0.500 0.500 0.500
3 Pt 0.000 0.500 0.500
4 Pt 0.500 0.000 0.500
5 Pt 0.500 0.500 0.000

=====

(3)
An optimized crystal structure of TaBe2Pt, computed with PBE-GGA.

Properties
Magnetization, μB per formula unit: 0.000
DFT formation energy, meV/atom: 43
Total energy, Ry/atom: -0.4625

abc: 5.251 5.251 5.251
angles: 104.68 104.68 119.56
Sites, in units of the cell vectors:
1 Ta 0.000 0.000 0.000
2 Ta 0.750 0.250 0.500
3 Be 0.155 0.125 0.530
4 Be 0.375 0.845 0.970
5 Be 0.595 0.625 0.470
6 Be 0.875 0.405 0.030
7 Pt 0.250 0.750 0.500
8 Pt 0.500 0.500 0.000

=====

(4)
An optimized crystal structure of TaBe2Pt, computed with PBE-GGA.

Properties
Magnetization, μB per formula unit: 0.000
DFT formation energy, meV/atom: -145
Total energy, Ry/atom: -0.4764

abc: 4.243 4.243 4.243
angles: 60.00 60.00 60.00
Sites, in units of the cell vectors:
1 Ta 0.000 0.000 0.000
2 Be 0.250 0.250 0.250
3 Be 0.500 0.500 0.500
4 Pt 0.750 0.750 0.750

=====

(5)
An optimized crystal structure of TaBePt3, computed with PBE-GGA.

Properties
Magnetization, μB per formula unit: 0.000
DFT formation energy, meV/atom: 1259
Total energy, Ry/atom: -0.4029

abc: 4.869 4.869 4.869
angles: 90.00 90.00 90.00
Sites, in units of the cell vectors:
1 Ta 0.000 0.000 0.000
2 Be 0.500 0.500 0.500
3 Pt 0.000 0.000 0.500
4 Pt 0.000 0.500 0.000
5 Pt 0.500 0.000 0.000

=====

(6)
An optimized crystal structure of TaBe2Pt, computed with PBE-GGA.

Properties
Magnetization, μB per formula unit: 0.000
DFT formation energy, meV/atom: -271
Total energy, Ry/atom: -0.4856

abc: 2.775 3.897 4.927
angles: 90.00 90.18 90.00
Sites, in units of the cell vectors:
1 Ta 0.000 0.000 0.000
2 Be 0.497 0.500 0.768
3 Be 0.503 0.500 0.232
4 Pt 0.500 0.000 0.500

=====

(7)
An optimized crystal structure of TaBePt, computed with PBE-GGA.

Properties
Magnetization, μB per formula unit: 0.000
DFT formation energy, meV/atom: -520
Total energy, Ry/atom: -0.5679

abc: 4.194 4.194 2.785
angles: 90.00 90.00 120.00
Sites, in units of the cell vectors:
1 Ta 0.000 0.000 0.000
2 Be 0.667 0.333 0.500
3 Pt 0.333 0.667 0.500

=====

(8)
An optimized crystal structure of Ta4BePt, computed with PBE-GGA.

Properties
Magnetization, μB per formula unit: 0.000
DFT formation energy, meV/atom: 486
Total energy, Ry/atom: -0.6647

abc: 5.340 5.340 5.340
angles: 60.00 60.00 60.00
Sites, in units of the cell vectors:
1 Ta 0.124 0.124 0.124
2 Ta 0.124 0.124 0.628
3 Ta 0.124 0.628 0.124
4 Ta 0.628 0.124 0.124
5 Be 0.750 0.750 0.750
6 Pt 0.500 0.500 0.500

=====

(9)
An optimized crystal structure of TaBe2Pt2, computed with PBE-GGA.

Properties
Magnetization, μB per formula unit: 0.000
DFT formation energy, meV/atom: -406
Total energy, Ry/atom: -0.4912

abc: 7.050 7.050 2.723
angles: 90.00 90.00 90.00
Sites, in units of the cell vectors:
1 Ta 0.000 0.000 0.000
2 Ta 0.500 0.500 0.000
3 Be 0.159 0.341 0.500
4 Be 0.341 0.841 0.500
5 Be 0.659 0.159 0.500
6 Be 0.841 0.659 0.500
7 Pt 0.139 0.639 0.000
8 Pt 0.361 0.139 0.000
9 Pt 0.639 0.861 0.000
10 Pt 0.861 0.361 0.000

=====

(10)
An optimized crystal structure of TaBeTe2Pt, computed with PBE-GGA.

Properties
Magnetization, μB per formula unit: 0.000
Energy relative to the elements, uncorrected, eV/atom: 0.9985
Total energy, Ry/atom: -0.3368

abc: 5.256 5.256 4.528
angles: 90.00 90.00 90.00
Sites, in units of the cell vectors:
1 Ta 0.000 0.000 0.000
2 Be 0.000 0.000 0.500
3 Te 0.000 0.500 0.000
4 Te 0.500 0.000 0.000
5 Pt 0.500 0.500 0.500

=====

(11)
An optimized crystal structure of Tb2Be2Pt5, computed with PBE-GGA.

Properties
Magnetization, μB per formula unit: 0.000
DFT formation energy, meV/atom: -976
Total energy, Ry/atom: -0.4549

abc: 4.084 4.084 8.893
angles: 90.00 90.00 90.00
Sites, in units of the cell vectors:
1 Tb 0.000 0.000 0.000
2 Tb 0.000 0.000 0.500
3 Be 0.500 0.500 0.138
4 Be 0.500 0.500 0.862
5 Pt 0.000 0.500 0.256
6 Pt 0.000 0.500 0.744
7 Pt 0.500 0.000 0.256
8 Pt 0.500 0.000 0.744
9 Pt 0.500 0.500 0.500

=====

(12)
An optimized crystal structure of TbBePt6, computed with PBE-GGA.

Properties
Magnetization, μB per formula unit: 0.000
DFT formation energy, meV/atom: -626
Total energy, Ry/atom: -0.4558

abc: 4.035 4.035 7.843
angles: 90.00 90.00 90.00
Sites, in units of the cell vectors:
1 Tb 0.000 0.000 0.000
2 Be 0.000 0.000 0.500
3 Pt 0.000 0.500 0.275
4 Pt 0.000 0.500 0.725
5 Pt 0.500 0.000 0.275
6 Pt 0.500 0.000 0.725
7 Pt 0.500 0.500 0.000
8 Pt 0.500 0.500 0.500

=====

Number 8 is which compound?
Ta4BePt

=====

What is the formula in the twelfth record?
TbBePt6